[1]
ZnIn2Si: optimized geometry, PBE-GGA.

Unit cell a=6.842 b=6.842 c=6.842 alpha=97.28 beta=97.28 gamma=138.30
Fractional positions:
1 Zn 0.000 0.000 0.000
2 Zn 0.750 0.250 0.500
3 In 0.216 0.625 0.091
4 In 0.375 0.466 0.591
5 In 0.534 0.125 0.909
6 In 0.875 0.784 0.409
7 Si 0.250 0.750 0.500
8 Si 0.500 0.500 0.000

* E: -0.103 Ha/atom
* offset from the most stable computed form: 22 kJ/mol of formula units
* E_form (uncorrected): 237.9 meV/atom
* density of states at the Fermi level: 0.24 states/eV/f.u.

=====

[2]
YZnH2: optimized geometry, PBE-GGA.

Unit cell a=6.271 b=6.271 c=6.271 alpha=138.69 beta=138.69 gamma=59.85
Fractional positions:
1 Y 0.000 0.000 0.000
2 Y 0.750 0.250 0.500
3 Zn 0.250 0.750 0.500
4 Zn 0.500 0.500 0.000
5 H 0.162 0.625 0.037
6 H 0.375 0.412 0.537
7 H 0.588 0.125 0.963
8 H 0.875 0.838 0.463

* E: -0.137 Ha/atom
* offset from the most stable computed form: 8 kJ/mol of formula units
* density of states at the Fermi level: 1.13 states/eV/f.u.

=====

[3]
Ti2SnPd3: optimized geometry, PBE-GGA.

Unit cell a=6.106 b=6.106 c=5.520 alpha=90.00 beta=90.00 gamma=89.72
Fractional positions:
1 Ti 0.060 0.609 0.750
2 Ti 0.391 0.940 0.750
3 Ti 0.609 0.060 0.250
4 Ti 0.940 0.391 0.250
5 Sn 0.277 0.723 0.250
6 Sn 0.723 0.277 0.750
7 Pd 0.000 0.000 0.000
8 Pd 0.000 0.000 0.500
9 Pd 0.321 0.321 0.000
10 Pd 0.321 0.321 0.500
11 Pd 0.679 0.679 0.000
12 Pd 0.679 0.679 0.500

* ΔH_f (0 K): -0.392 eV/atom
* E: -0.231 Ha/atom
* offset from the most stable computed form: 98 kJ/mol of formula units
* density of states at the Fermi level: 6.17 states/eV/f.u.